# 1
A plane-wave DFT calculation with PBE-GGA was carried out for crystalline La3PdN at its relaxed geometry.

**Relative energy among the computed polymorphs**: 0 meV/atom
**Total magnetic moment**: 0.0 μB per formula unit
**ΔE_f (raw)**: -0.79 eV/atom
**Uncorrected energy**: -64.53 eV per cell
**SG**: P2/m, No. 10

Cell lengths 7.9117, 3.7590, 8.9072 Å; angles 90.00, 107.70, 90.00 degrees
Last column: nearest neighbours and their distance in Å.
Fractional coordinates of all 10 atoms:
La (0.0925, 0.0000, 0.3456)  2 N 2.56
La (0.2999, 0.0000, 0.0394)  2 N 2.55
La (0.3315, 0.5000, 0.6954)  2 N 2.63-2.67
La (0.6685, 0.5000, 0.3046)  2 N 2.63-2.67
La (0.7001, 0.0000, 0.9606)  2 N 2.55
La (0.9075, 0.0000, 0.6544)  2 N 2.56
Pd (0.0000, 0.5000, 0.0000)  4 La 2.96
Pd (0.5000, 0.0000, 0.5000)  6 La 3.10-3.12
N (0.0000, 0.5000, 0.5000)  6 La 2.56-2.67
N (0.5000, 0.5000, 0.0000)  6 La 2.55-2.63

# 2
A plane-wave DFT calculation with PBE-GGA was carried out for crystalline Rb2Li2As at its relaxed geometry.

**Relative energy among the computed polymorphs**: 246 meV/atom
**Total magnetic moment**: 0.8 μB per formula unit
**Uncorrected energy**: -22.66 eV per cell
**Energy of formation from the pure elements**: -0.1833 eV/atom
**SG**: P4/mbm, No. 127

Cell lengths 7.3029, 7.3029, 6.0746 Å; angles 90.00, 90.00, 90.00 degrees
Last column: nearest neighbours and their distance in Å.
Fractional coordinates of all 10 atoms:
Rb (0.2032, 0.2968, 0.0000)  2 Li 3.24
Rb (0.2968, 0.7968, 0.0000)  2 Li 3.24
Rb (0.7032, 0.2032, 0.0000)  2 Li 3.24
Rb (0.7968, 0.7032, 0.0000)  2 Li 3.24
Li (0.1877, 0.6877, 0.5000)  2 As 2.66
Li (0.3123, 0.1877, 0.5000)  2 As 2.66
Li (0.6877, 0.8123, 0.5000)  2 As 2.66
Li (0.8123, 0.3123, 0.5000)  2 As 2.66
As (0.0000, 0.0000, 0.5000)  4 Li 2.66
As (0.5000, 0.5000, 0.5000)  4 Li 2.66

# 3
A plane-wave DFT calculation with PBE-GGA was carried out for crystalline UGeAs at its relaxed geometry.

**Relative energy among the computed polymorphs**: 117 meV/atom
**Total magnetic moment**: 2.2 μB per formula unit
**Uncorrected energy**: -43.48 eV per cell
**Energy of formation from the pure elements**: -0.3945 eV/atom
**SG**: Cmcm, No. 63

Cell lengths 7.9702, 7.9702, 3.9784 Å; angles 90.00, 90.00, 150.13 degrees
Last column: nearest neighbours and their distance in Å.
Fractional coordinates of all 6 atoms:
U (0.1065, 0.8935, 0.7500)  6 Ge 2.97-3.22, 4 As 2.98-3.01
U (0.8935, 0.1065, 0.2500)  6 Ge 2.97-3.22, 4 As 2.98-3.01
Ge (0.4455, 0.5545, 0.7500)  2 Ge 2.60
Ge (0.5545, 0.4455, 0.2500)  2 Ge 2.60
As (0.2505, 0.7495, 0.2500)  4 As 2.86, 4 U 2.98-3.01
As (0.7495, 0.2505, 0.7500)  4 As 2.86, 4 U 2.98-3.01